Record 1
Material: Tb5ThIn3
Method: DFT, PBE
State: optimized geometry

DFT formation energy = -0.33 eV/atom
total magnetic moment = 0.002 μB/f.u.

Cell and atoms, written as CIF:
```
data_Tb5ThIn3
_symmetry_space_group_name_H-M 'P 1'
_symmetry_Int_Tables_number 1
_symmetry_space_group_name_Hall 'P 1'
_cell_length_a 6.7061
_cell_length_b 9.4459
_cell_length_c 9.4455
_cell_angle_alpha 120.00
_cell_angle_beta 90.00
_cell_angle_gamma 90.00
loop_
_atom_site_label
_atom_site_fract_x
_atom_site_fract_y
_atom_site_fract_z
_atom_site_occupancy
Tb1 0.2500 0.3270 0.3270 1
Tb2 0.7500 0.3270 0.0000 1
Tb3 0.0000 0.3333 0.6666 1
Tb4 0.7500 0.0000 0.3270 1
Tb5 0.7500 0.6730 0.6730 1
Tb6 0.5000 0.6667 0.3334 1
Tb7 0.5000 0.3333 0.6666 1
Tb8 0.2500 0.0000 0.6730 1
Tb9 0.2500 0.6730 0.0000 1
Tb10 0.0000 0.6667 0.3334 1
In1 0.7500 0.6581 0.0000 1
In2 0.2500 0.3419 0.0000 1
In3 0.2500 0.0000 0.3419 1
In4 0.2500 0.6581 0.6581 1
In5 0.7500 0.3419 0.3419 1
In6 0.7500 0.0000 0.6581 1
Th1 0.0000 0.0000 0.0000 1
Th2 0.5000 0.0000 0.0000 1
```



Record 2
Material: TbTh4In5
Method: DFT, PBE
State: optimized geometry

DFT formation energy = -0.32 eV/atom
total magnetic moment = 0.001 μB/f.u.

Cell and atoms, written as CIF:
```
data_TbTh4In5
_symmetry_space_group_name_H-M 'P 1'
_symmetry_Int_Tables_number 1
_symmetry_space_group_name_Hall 'P 1'
_cell_length_a 3.5218
_cell_length_b 3.5218
_cell_length_c 22.7814
_cell_angle_alpha 90.00
_cell_angle_beta 90.00
_cell_angle_gamma 90.00
loop_
_atom_site_label
_atom_site_fract_x
_atom_site_fract_y
_atom_site_fract_z
_atom_site_occupancy
In1 0.5000 0.5000 0.2969 1
In2 0.5000 0.5000 0.7031 1
In3 0.5000 0.5000 0.9056 1
In4 0.5000 0.5000 0.0944 1
In5 0.5000 0.5000 0.5000 1
Tb1 0.0000 0.0000 0.0000 1
Th1 0.0000 0.0000 0.6018 1
Th2 0.0000 0.0000 0.3982 1
Th3 0.0000 0.0000 0.1955 1
Th4 0.0000 0.0000 0.8045 1
```



Record 3
Material: TbTh2In
Method: DFT, PBE
State: optimized geometry

relative energy among the computed polymorphs = 0 meV/atom
DFT formation energy = -0.19 eV/atom
total magnetic moment = 0.000 μB/f.u.

Cell and atoms, written as CIF:
```
data_TbTh2In
_symmetry_space_group_name_H-M 'P 1'
_symmetry_Int_Tables_number 1
_symmetry_space_group_name_Hall 'P 1'
_cell_length_a 5.0682
_cell_length_b 4.8407
_cell_length_c 4.8407
_cell_angle_alpha 90.00
_cell_angle_beta 90.00
_cell_angle_gamma 90.00
loop_
_atom_site_label
_atom_site_fract_x
_atom_site_fract_y
_atom_site_fract_z
_atom_site_occupancy
Tb1 0.5000 0.5000 0.5000 1
Th1 0.0000 0.5000 0.0000 1
Th2 0.0000 0.0000 0.5000 1
In1 0.5000 0.0000 0.0000 1
```



Record 4
Material: Tb9ThIn2
Method: DFT, PBE
State: optimized geometry

DFT formation energy = -0.15 eV/atom
total magnetic moment = 0.000 μB/f.u.

Cell and atoms, written as CIF:
```
data_Tb9ThIn2
_symmetry_space_group_name_H-M 'P 1'
_symmetry_Int_Tables_number 1
_symmetry_space_group_name_Hall 'P 1'
_cell_length_a 4.9028
_cell_length_b 4.9028
_cell_length_c 14.8830
_cell_angle_alpha 90.00
_cell_angle_beta 90.00
_cell_angle_gamma 90.00
loop_
_atom_site_label
_atom_site_fract_x
_atom_site_fract_y
_atom_site_fract_z
_atom_site_occupancy
Tb1 0.0000 0.5000 0.8292 1
Tb2 0.5000 0.0000 0.1708 1
Tb3 0.5000 0.0000 0.8292 1
Tb4 0.0000 0.5000 0.1708 1
Tb5 0.5000 0.5000 0.3381 1
Tb6 0.5000 0.5000 0.6619 1
Tb7 0.5000 0.5000 0.0000 1
Tb8 0.5000 0.0000 0.5000 1
Tb9 0.0000 0.5000 0.5000 1
In1 0.0000 0.0000 0.6622 1
In2 0.0000 0.0000 0.3378 1
Th1 0.0000 0.0000 0.0000 1
```



Record 5
Material: TbThIn
Method: DFT, PBE
State: optimized geometry

relative energy among the computed polymorphs = 196 meV/atom
DFT formation energy = -0.07 eV/atom
total magnetic moment = 0.000 μB/f.u.

Cell and atoms, written as CIF:
```
data_TbThIn
_symmetry_space_group_name_H-M 'P 1'
_symmetry_Int_Tables_number 1
_symmetry_space_group_name_Hall 'P 1'
_cell_length_a 3.6109
_cell_length_b 5.3517
_cell_length_c 5.3517
_cell_angle_alpha 120.00
_cell_angle_beta 90.00
_cell_angle_gamma 90.00
loop_
_atom_site_label
_atom_site_fract_x
_atom_site_fract_y
_atom_site_fract_z
_atom_site_occupancy
Th1 0.3662 0.3333 0.6667 1
In1 0.7149 0.6667 0.3333 1
Tb1 0.9190 0.0000 0.0000 1
```



Record 6
Material: Tb12ThIn3
Method: DFT, PBE
State: optimized geometry

DFT formation energy = -0.18 eV/atom
total magnetic moment = 0.000 μB/f.u.

Cell and atoms, written as CIF:
```
data_Tb12ThIn3
_symmetry_space_group_name_H-M 'P 1'
_symmetry_Int_Tables_number 1
_symmetry_space_group_name_Hall 'P 1'
_cell_length_a 4.8898
_cell_length_b 4.8898
_cell_length_c 19.7585
_cell_angle_alpha 90.00
_cell_angle_beta 90.00
_cell_angle_gamma 90.00
loop_
_atom_site_label
_atom_site_fract_x
_atom_site_fract_y
_atom_site_fract_z
_atom_site_occupancy
In1 0.0000 0.0000 0.5000 1
In2 0.0000 0.0000 0.7447 1
In3 0.0000 0.0000 0.2553 1
Tb1 0.5000 0.5000 0.2545 1
Tb2 0.5000 0.5000 0.0000 1
Tb3 0.0000 0.5000 0.1289 1
Tb4 0.5000 0.0000 0.8711 1
Tb5 0.5000 0.0000 0.3766 1
Tb6 0.0000 0.5000 0.3766 1
Tb7 0.5000 0.0000 0.6234 1
Tb8 0.5000 0.5000 0.5000 1
Tb9 0.0000 0.5000 0.6234 1
Tb10 0.5000 0.5000 0.7455 1
Tb11 0.5000 0.0000 0.1289 1
Tb12 0.0000 0.5000 0.8711 1
Th1 0.0000 0.0000 0.0000 1
```



Record 7
Material: TbThIn
Method: DFT, PBE
State: optimized geometry

relative energy among the computed polymorphs = 50 meV/atom
DFT formation energy = -0.22 eV/atom
total magnetic moment = 0.000 μB/f.u.

Cell and atoms, written as CIF:
```
data_TbThIn
_symmetry_space_group_name_H-M 'P 1'
_symmetry_Int_Tables_number 1
_symmetry_space_group_name_Hall 'P 1'
_cell_length_a 8.2412
_cell_length_b 8.2412
_cell_length_c 4.9431
_cell_angle_alpha 90.00
_cell_angle_beta 90.00
_cell_angle_gamma 148.21
loop_
_atom_site_label
_atom_site_fract_x
_atom_site_fract_y
_atom_site_fract_z
_atom_site_occupancy
Tb1 0.2418 0.7582 0.7500 1
Tb2 0.7582 0.2418 0.2500 1
Th1 0.9275 0.0725 0.7500 1
Th2 0.0725 0.9275 0.2500 1
In1 0.4012 0.5988 0.2500 1
In2 0.5988 0.4012 0.7500 1
```



Record 8
Material: Tb2ThIn
Method: DFT, PBE
State: optimized geometry

relative energy among the computed polymorphs = 213 meV/atom
DFT formation energy = -0.03 eV/atom
total magnetic moment = 0.001 μB/f.u.

Cell and atoms, written as CIF:
```
data_Tb2ThIn
_symmetry_space_group_name_H-M 'P 1'
_symmetry_Int_Tables_number 1
_symmetry_space_group_name_Hall 'P 1'
_cell_length_a 5.4727
_cell_length_b 5.4727
_cell_length_c 5.4727
_cell_angle_alpha 60.00
_cell_angle_beta 60.00
_cell_angle_gamma 60.00
loop_
_atom_site_label
_atom_site_fract_x
_atom_site_fract_y
_atom_site_fract_z
_atom_site_occupancy
Tb1 0.7500 0.7500 0.7500 1
Tb2 0.2500 0.2500 0.2500 1
In1 0.5000 0.5000 0.5000 1
Th1 0.0000 0.0000 0.0000 1
```



Record 9
Material: Tb6ThIn3
Method: DFT, PBE
State: optimized geometry

DFT formation energy = -0.28 eV/atom
total magnetic moment = 0.000 μB/f.u.

Cell and atoms, written as CIF:
```
data_Tb6ThIn3
_symmetry_space_group_name_H-M 'P 1'
_symmetry_Int_Tables_number 1
_symmetry_space_group_name_Hall 'P 1'
_cell_length_a 5.1961
_cell_length_b 10.0156
_cell_length_c 11.2917
_cell_angle_alpha 100.18
_cell_angle_beta 90.00
_cell_angle_gamma 90.00
loop_
_atom_site_label
_atom_site_fract_x
_atom_site_fract_y
_atom_site_fract_z
_atom_site_occupancy
Tb1 0.7500 0.1771 0.7144 1
Tb2 0.7500 0.5475 0.9038 1
Tb3 0.7500 0.8608 0.7778 1
Tb4 0.7500 0.3588 0.3078 1
Tb5 0.7500 0.9319 0.0945 1
Tb6 0.2500 0.1392 0.2222 1
Tb7 0.2500 0.2714 0.5168 1
Tb8 0.7500 0.7286 0.4832 1
Tb9 0.2500 0.6412 0.6922 1
Tb10 0.2500 0.8229 0.2856 1
Tb11 0.2500 0.4525 0.0962 1
Tb12 0.2500 0.0681 0.9055 1
Th1 0.7500 0.0462 0.4058 1
Th2 0.2500 0.9538 0.5942 1
In1 0.2500 0.7587 0.9773 1
In2 0.7500 0.6426 0.1932 1
In3 0.7500 0.2413 0.0227 1
In4 0.2500 0.3574 0.8068 1
In5 0.7500 0.4586 0.6082 1
In6 0.2500 0.5414 0.3918 1
```



Record 10
Material: Tb2ThIn
Method: DFT, PBE
State: optimized geometry

relative energy among the computed polymorphs = 33 meV/atom
DFT formation energy = -0.21 eV/atom
total magnetic moment = 0.001 μB/f.u.

Cell and atoms, written as CIF:
```
data_Tb2ThIn
_symmetry_space_group_name_H-M 'P 1'
_symmetry_Int_Tables_number 1
_symmetry_space_group_name_Hall 'P 1'
_cell_length_a 4.8097
_cell_length_b 4.9274
_cell_length_c 4.9274
_cell_angle_alpha 90.00
_cell_angle_beta 90.00
_cell_angle_gamma 90.00
loop_
_atom_site_label
_atom_site_fract_x
_atom_site_fract_y
_atom_site_fract_z
_atom_site_occupancy
Tb1 0.0000 0.0000 0.5000 1
Tb2 0.0000 0.5000 0.0000 1
Th1 0.5000 0.5000 0.5000 1
In1 0.5000 0.0000 0.0000 1
```



Record 11
Material: TbTh2In
Method: DFT, PBE
State: optimized geometry

relative energy among the computed polymorphs = 56 meV/atom
DFT formation energy = -0.14 eV/atom
total magnetic moment = 0.000 μB/f.u.

Cell and atoms, written as CIF:
```
data_TbTh2In
_symmetry_space_group_name_H-M 'P 1'
_symmetry_Int_Tables_number 1
_symmetry_space_group_name_Hall 'P 1'
_cell_length_a 4.7344
_cell_length_b 4.6998
_cell_length_c 11.5157
_cell_angle_alpha 90.00
_cell_angle_beta 101.85
_cell_angle_gamma 90.00
loop_
_atom_site_label
_atom_site_fract_x
_atom_site_fract_y
_atom_site_fract_z
_atom_site_occupancy
Th1 0.5614 0.2500 0.1224 1
Th2 0.4386 0.7500 0.8776 1
Th3 0.9397 0.2500 0.8796 1
Th4 0.0603 0.7500 0.1204 1
In1 0.8320 0.7500 0.6642 1
In2 0.1680 0.2500 0.3358 1
Tb1 0.6940 0.7500 0.3878 1
Tb2 0.3060 0.2500 0.6122 1
```



Record 12
Material: Tb2ThIn
Method: DFT, PBE
State: optimized geometry

relative energy among the computed polymorphs = 162 meV/atom
DFT formation energy = -0.08 eV/atom
total magnetic moment = 0.000 μB/f.u.

Cell and atoms, written as CIF:
```
data_Tb2ThIn
_symmetry_space_group_name_H-M 'P 1'
_symmetry_Int_Tables_number 1
_symmetry_space_group_name_Hall 'P 1'
_cell_length_a 4.7166
_cell_length_b 4.7092
_cell_length_c 11.4216
_cell_angle_alpha 90.00
_cell_angle_beta 101.94
_cell_angle_gamma 90.00
loop_
_atom_site_label
_atom_site_fract_x
_atom_site_fract_y
_atom_site_fract_z
_atom_site_occupancy
Tb1 0.4383 0.7500 0.8770 1
Tb2 0.9374 0.2500 0.8753 1
Tb3 0.0626 0.7500 0.1247 1
Tb4 0.5617 0.2500 0.1230 1
Th1 0.6946 0.7500 0.3875 1
Th2 0.3054 0.2500 0.6125 1
In1 0.8354 0.7500 0.6727 1
In2 0.1646 0.2500 0.3273 1
```



Calculated values (states/eV/f.u.) of density of states at the Fermi level for the records, taken in order: 12.66; 12.39; 4.32; 17.32; 4.18; 22.68; 3.11; 7.97; 10.52; 6.05; 4.08; 5.30.
Calculated values (eV/cell) of energy for the records, taken in order: -83.5; -51.2; -23.0; -56.4; -15.0; -74.1; -30.9; -19.6; -92.4; -20.3; -45.5; -39.5.